1.
## SrLiMg2 (meta-GGA SCAN)

Data for a crystal of SrLiMg2 relaxed with PBEsol.

Properties
Symmetry ... Immm
Energy relative to the elements ... 0.05 eV/atom
Energy above the most stable polymorph in this dataset ... 0.0588 eV/atom

a b c (Å): 3.9294 5.4629 6.2090
angles (deg): 116.10 108.45 90.00
With the nearest neighbours (Å) after each atom.
Atoms (fractional coordinates):
Li 0.0000 0.5000 0.0000  4 Mg 3.03, 4 Sr 3.36
Mg 0.7209 0.7209 0.4419  2 Li 3.03
Mg 0.2791 0.2791 0.5581  2 Li 3.03
Sr 0.5000 0.0000 0.0000  4 Li 3.36, 8 Mg 3.51-3.57

***

2.
## Cs2Sb (meta-GGA SCAN)

Data for a crystal of Cs2Sb relaxed with PBEsol.

Properties
Symmetry ... Pnma
E_form (uncorrected) ... -0.528 eV per atom

a b c (Å): 6.3076 11.0175 16.0619
angles (deg): 90.00 90.00 90.00
With the nearest neighbours (Å) after each atom.
Atoms (fractional coordinates):
Cs 0.2500 0.2614 0.7432  4 Cs 3.69-4.06, 5 Sb 3.85-3.91
Cs 0.2500 0.2386 0.2432  4 Cs 3.69-4.06, 5 Sb 3.85-3.91
Cs 0.7500 0.7386 0.2568  4 Cs 3.69-4.06, 5 Sb 3.85-3.91
Cs 0.7500 0.7614 0.7568  4 Cs 3.69-4.06, 5 Sb 3.85-3.91
Cs 0.7500 0.0948 0.7089  4 Cs 3.69-3.75, 6 Sb 3.85-4.12
Cs 0.7500 0.4052 0.2089  4 Cs 3.69-3.75, 6 Sb 3.85-4.12
Cs 0.2500 0.9052 0.2911  4 Cs 3.69-3.75, 6 Sb 3.85-4.12
Cs 0.2500 0.5948 0.7911  4 Cs 3.69-3.75, 6 Sb 3.85-4.12
Cs 0.7500 0.0853 0.9420  4 Sb 3.61-3.95, 1 Cs 3.75
Cs 0.7500 0.4147 0.4420  4 Sb 3.61-3.95, 1 Cs 3.75
Cs 0.2500 0.9147 0.0580  4 Sb 3.61-3.95, 1 Cs 3.75
Cs 0.2500 0.5853 0.5580  4 Sb 3.61-3.95, 1 Cs 3.75
Cs 0.2500 0.3354 0.9907  3 Sb 3.86-4.01, 5 Cs 4.06-4.29
Cs 0.2500 0.1646 0.4907  3 Sb 3.86-4.01, 5 Cs 4.06-4.29
Cs 0.7500 0.6646 0.0093  3 Sb 3.86-4.01, 5 Cs 4.06-4.29
Cs 0.7500 0.8354 0.5093  3 Sb 3.86-4.01, 5 Cs 4.06-4.29
Sb 0.2500 0.9090 0.6546  1 Sb 2.90
Sb 0.2500 0.5910 0.1546  1 Sb 2.90
Sb 0.7500 0.0910 0.3454  1 Sb 2.90
Sb 0.7500 0.4090 0.8454  1 Sb 2.90
Sb 0.7500 0.4381 0.6659  1 Sb 2.90
Sb 0.7500 0.0619 0.1659  1 Sb 2.90
Sb 0.2500 0.5619 0.3341  1 Sb 2.90
Sb 0.2500 0.9381 0.8341  1 Sb 2.90

***

3.
## Na2SrAs2 (meta-GGA SCAN)

Data for a crystal of Na2SrAs2 relaxed with PBEsol.

Properties
Symmetry ... I4/mmm
Energy relative to the elements ... -0.74 eV/atom
Energy above the most stable polymorph in this dataset ... 0.0000 eV/atom

a b c (Å): 4.4649 4.4649 7.0525
angles (deg): 108.45 108.45 90.00
With the nearest neighbours (Å) after each atom.
Atoms (fractional coordinates):
Sr 0.0000 0.0000 0.0000  8 As 3.40
As 0.4010 0.4010 0.8020  1 As 2.50
As 0.5990 0.5990 0.1980  1 As 2.50
Na 0.2500 0.7500 0.5000  4 As 2.93, 4 Na 3.16
Na 0.7500 0.2500 0.5000  4 As 2.93, 4 Na 3.16

***

4.
## AgH2Pt2 (meta-GGA SCAN)

Data for a crystal of AgH2Pt2 relaxed with PBEsol.

Properties
Symmetry ... I4/mmm
Total energy ... -177.90 eV/cell

a b c (Å): 3.2896 3.2896 5.4220
angles (deg): 107.66 107.66 90.00
With the nearest neighbours (Å) after each atom.
Atoms (fractional coordinates):
H 0.2500 0.7500 0.5000  4 Pt 1.90
H 0.7500 0.2500 0.5000  4 Pt 1.90
Pt 0.3463 0.3463 0.6926  4 H 1.90
Pt 0.6537 0.6537 0.3074  4 H 1.90
Ag 0.0000 0.0000 0.0000  8 Pt 2.77, 8 H 2.95

***

5.
## SrIrC3 (meta-GGA SCAN)

Data for a crystal of SrIrC3 relaxed with PBEsol.

Properties
Symmetry ... Pm-3m
Energy relative to the elements ... 4.35 eV/atom

a b c (Å): 4.1833 4.1833 4.1833
angles (deg): 90.00 90.00 90.00
With the nearest neighbours (Å) after each atom.
Atoms (fractional coordinates):
Sr 0.0000 0.0000 0.0000  6 C 2.09
C 0.0000 0.5000 0.0000  2 Sr 2.09
C 0.0000 0.0000 0.5000  2 Sr 2.09
C 0.5000 0.0000 0.0000  2 Sr 2.09
Ir 0.5000 0.5000 0.5000  12 C 2.96

***

6.
## NiW (meta-GGA SCAN)

Data for a crystal of NiW relaxed with PBEsol.

Properties
Symmetry ... Cmcm
Energy relative to the elements ... 0.07 eV/atom

a b c (Å): 2.5868 4.0550 5.0805
angles (deg): 90.00 104.75 90.00
With the nearest neighbours (Å) after each atom.
Atoms (fractional coordinates):
Ni 0.5654 0.7500 0.1308  4 Ni 2.40-2.59, 7 W 2.60-2.64
Ni 0.4346 0.2500 0.8692  4 Ni 2.40-2.59, 7 W 2.60-2.64
W 0.8336 0.7500 0.6672  2 W 2.59, 7 Ni 2.60-2.64
W 0.1664 0.2500 0.3328  2 W 2.59, 7 Ni 2.60-2.64

***

7.
## AgOs3Ru (meta-GGA SCAN)

Data for a crystal of AgOs3Ru relaxed with PBEsol.

Properties
Symmetry ... Pm-3m
Energy relative to the elements ... 2.41 eV/atom

a b c (Å): 4.5949 4.5949 4.5949
angles (deg): 90.00 90.00 90.00
With the nearest neighbours (Å) after each atom.
Atoms (fractional coordinates):
Ru 0.0000 0.0000 0.0000  6 Os 2.30
Os 0.0000 0.5000 0.0000  2 Ru 2.30
Os 0.0000 0.0000 0.5000  2 Ru 2.30
Os 0.5000 0.0000 0.0000  2 Ru 2.30
Ag 0.5000 0.5000 0.5000  12 Os 3.25

***

8.
## BiBRu2 (meta-GGA SCAN)

Data for a crystal of BiBRu2 relaxed with PBEsol.

Properties
Symmetry ... Fm-3m
Energy relative to the elements ... 0.88 eV/atom

a b c (Å): 4.3178 4.3178 4.3178
angles (deg): 60.00 60.00 60.00
With the nearest neighbours (Å) after each atom.
Atoms (fractional coordinates):
Ru 0.2500 0.2500 0.2500  4 Bi 2.64, 4 B 2.64
Ru 0.7500 0.7500 0.7500  4 Bi 2.64, 4 B 2.64
B 0.0000 0.0000 0.0000  8 Ru 2.64
Bi 0.5000 0.5000 0.5000  8 Ru 2.64

***

9.
## ReOs2Pt (meta-GGA SCAN)

Data for a crystal of ReOs2Pt relaxed with PBEsol.

Properties
Symmetry ... P2/m
Energy relative to the elements ... 0.09 eV/atom
Energy above the most stable polymorph in this dataset ... 0.0369 eV/atom

a b c (Å): 2.7141 4.7194 4.7427
angles (deg): 110.15 90.00 90.00
With the nearest neighbours (Å) after each atom.
Atoms (fractional coordinates):
Os 0.0000 0.0000 0.0000  2 Re 2.71, 6 Os 2.71-2.73, 4 Pt 2.72
Os 0.5000 0.0000 0.5000  2 Pt 2.71, 6 Os 2.71-2.73, 4 Re 2.72
Pt 0.5000 0.5000 0.0000  6 Os 2.71-2.72, 2 Pt 2.71, 4 Re 2.73
Re 0.0000 0.5000 0.5000  6 Os 2.71-2.72, 2 Re 2.71, 4 Pt 2.73

***

10.
## Cd2MoOs (meta-GGA SCAN)

Data for a crystal of Cd2MoOs relaxed with PBEsol.

Properties
Symmetry ... Immm
Energy relative to the elements ... 0.56 eV/atom
Energy above the most stable polymorph in this dataset ... 0.0000 eV/atom

a b c (Å): 3.1110 4.4730 5.5120
angles (deg): 113.94 106.39 90.00
With the nearest neighbours (Å) after each atom.
Atoms (fractional coordinates):
Cd 0.7445 0.7445 0.4889  4 Cd 2.73, 2 Os 2.81, 2 Mo 2.90
Cd 0.2555 0.2555 0.5111  4 Cd 2.73, 2 Os 2.81, 2 Mo 2.90
Mo 0.5000 0.0000 0.0000  4 Os 2.72, 4 Cd 2.90
Os 0.0000 0.5000 0.0000  4 Mo 2.72, 4 Cd 2.81

***

11.
## LiMnPt2 (meta-GGA SCAN)

Data for a crystal of LiMnPt2 relaxed with PBEsol.

Properties
Symmetry ... Cmmm
Energy relative to the elements ... -0.72 eV/atom
Energy above the most stable polymorph in this dataset ... 0.0206 eV/atom

a b c (Å): 2.7900 4.4425 4.4425
angles (deg): 102.17 90.00 90.00
With the nearest neighbours (Å) after each atom.
Atoms (fractional coordinates):
Mn 0.5000 0.5000 0.5000  8 Pt 2.62, 2 Mn 2.79, 2 Li 2.79
Pt 0.0000 0.5000 0.0000  4 Mn 2.62, 4 Li 2.62, 4 Pt 2.79
Pt 0.0000 0.0000 0.5000  4 Li 2.62, 4 Mn 2.62, 4 Pt 2.79
Li 0.5000 0.0000 0.0000  8 Pt 2.62, 2 Li 2.79, 2 Mn 2.79

***

12.
## Li2TaAs (meta-GGA SCAN)

Data for a crystal of Li2TaAs relaxed with PBEsol.

Properties
Symmetry ... Cmmm
Energy relative to the elements ... 0.00 eV/atom

a b c (Å): 2.7006 2.7006 9.1513
angles (deg): 90.00 90.00 105.56
With the nearest neighbours (Å) after each atom.
Atoms (fractional coordinates):
As 0.5000 0.5000 0.0000  4 Li 2.62, 4 As 2.70
Ta 0.5000 0.5000 0.5000  4 Ta 2.70, 4 Li 3.01
Li 0.0000 0.0000 0.2232  2 As 2.62, 4 Li 2.70
Li 0.0000 0.0000 0.7768  2 As 2.62, 4 Li 2.70